Compound: SrCaAgBr5
Source: the Alexandria database
Functional: PBE-GGA
Structure: optimized geometry

## Properties
The density of states at the Fermi level comes out at 0.00 states/eV/f.u. For the formation energy (no corrections), the calculation gives -12.68 eV/f.u. The calculation puts the uncorrected energy at -110.30 eV/cell. As for the theoretical density: 3.79 Mg/m³.

a = 9.2789 Å, b = 12.5882 Å, c = 10.3897 Å
α = 90.00°, β = 113.45°, γ = 90.00°
With the nearest neighbours (Å) after each atom.
Space group C2/c (No. 15)
Inequivalent atoms, fractional coordinates:
Sr  0.0000  0.1420  0.2500  5 Br 3.09-3.14
Ca  0.0000  0.5000  0.0000  6 Br 2.89-2.95
Ag  0.0000  0.1755  0.7500  4 Br 2.68-2.70
Br  0.0000  0.3917  0.2500  2 Ca 2.93, 1 Sr 3.14
Br  0.1457  0.3036  0.6336  1 Ag 2.68, 1 Ca 2.89
Br  0.1715  0.0422  0.9576  1 Ag 2.70, 1 Ca 2.95